DFT (PBE) results for an optimized crystal structure of TiTcHgO6.

Properties
- E_form (uncorrected): -1581 meV per atom
- Total DFT energy (no corrections): -6.949 eV/atom

```
data_TiTcHgO6
_cell_length_a 5.1856
_cell_length_b 5.1856
_cell_length_c 5.0269
_cell_angle_alpha 90.00
_cell_angle_beta 90.00
_cell_angle_gamma 120.00
_symmetry_space_group_name_H-M 'P 3'
_symmetry_Int_Tables_number 143
_symmetry_space_group_name_Hall 'P 3'
loop_
_atom_site_label
_atom_site_type_symbol
_atom_site_fract_x
_atom_site_fract_y
_atom_site_fract_z
_atom_site_occupancy
Ti1 Ti 0.0000 0.0000 0.0000 1
Tc1 Tc 0.3333 0.6667 0.0754 1
Hg1 Hg 0.6667 0.3333 0.5519 1
O1 O 0.0453 0.3375 0.2590 1
O2 O 0.0509 0.7076 0.8274 1
```